Computed, not measured: Gd2TmMg after structural relaxation at the PBE-GGA level of DFT.

a = 3.5916 Å, b = 3.5916 Å, c = 9.2470 Å
α = 90.00°, β = 90.00°, γ = 90.00°
Closest atoms and distances in Å follow each position.
Positions (direct):
Gd (0.0000, 0.0000, 0.7617)  4 Mg 3.36, 4 Tm 3.51, 4 Gd 3.59
Mg (0.5000, 0.5000, 0.0000)  8 Gd 3.36, 4 Mg 3.59
Gd (0.0000, 0.0000, 0.2383)  4 Mg 3.36, 4 Tm 3.51, 4 Gd 3.59
Tm (0.5000, 0.5000, 0.5000)  8 Gd 3.51, 4 Tm 3.59

ΔE to the lowest computed polymorph   0.0 meV per atom
ΔE_f   -26 meV per atom
Uncorrected energy   -8.58 eV/atom

***

Computed, not measured: Gd2TmMg after structural relaxation at the PBE-GGA level of DFT.

a = 5.4968 Å, b = 5.4968 Å, c = 5.4968 Å
α = 60.00°, β = 60.00°, γ = 60.00°
Closest atoms and distances in Å follow each position.
Positions (direct):
Gd (0.2500, 0.2500, 0.2500)  4 Tm 3.37, 4 Mg 3.37
Mg (0.5000, 0.5000, 0.5000)  8 Gd 3.37
Gd (0.7500, 0.7500, 0.7500)  4 Tm 3.37, 4 Mg 3.37
Tm (0.0000, 0.0000, 0.0000)  8 Gd 3.37

ΔE to the lowest computed polymorph   46.6 meV per atom
ΔE_f   20 meV per atom
Uncorrected energy   -8.54 eV/atom

***

Computed, not measured: Gd2TmMg after structural relaxation at the PBE-GGA level of DFT.

a = 4.8242 Å, b = 4.9721 Å, c = 4.9721 Å
α = 90.00°, β = 90.00°, γ = 90.00°
Closest atoms and distances in Å follow each position.
Positions (direct):
Gd (0.0000, 0.0000, 0.5000)  4 Tm 3.46, 4 Mg 3.46, 4 Gd 3.52
Tm (0.5000, 0.5000, 0.5000)  8 Gd 3.46, 4 Mg 3.52
Gd (0.0000, 0.5000, 0.0000)  4 Mg 3.46, 4 Tm 3.46, 4 Gd 3.52
Mg (0.5000, 0.0000, 0.0000)  8 Gd 3.46, 4 Tm 3.52

ΔE to the lowest computed polymorph   30.5 meV per atom
ΔE_f   4 meV per atom
Uncorrected energy   -8.55 eV/atom

***

Computed, not measured: GdTmMg2 after structural relaxation at the PBE-GGA level of DFT.

a = 5.3597 Å, b = 5.3597 Å, c = 5.3597 Å
α = 60.00°, β = 60.00°, γ = 60.00°
Closest atoms and distances in Å follow each position.
Positions (direct):
Gd (0.0000, 0.0000, 0.0000)  8 Mg 3.28
Mg (0.7500, 0.7500, 0.7500)  4 Gd 3.28, 4 Tm 3.28
Tm (0.5000, 0.5000, 0.5000)  8 Mg 3.28
Mg (0.2500, 0.2500, 0.2500)  4 Gd 3.28, 4 Tm 3.28

ΔE to the lowest computed polymorph   4.0 meV per atom
ΔE_f   -82 meV per atom
Uncorrected energy   -5.52 eV/atom

***

Computed, not measured: GdYTmMg after structural relaxation at the PBE-GGA level of DFT.

a = 5.4955 Å, b = 5.4955 Å, c = 5.4955 Å
α = 60.00°, β = 60.00°, γ = 60.00°
Closest atoms and distances in Å follow each position.
Positions (direct):
Mg (0.0000, 0.0000, 0.0000)  4 Y 3.37, 4 Gd 3.37
Y (0.7500, 0.7500, 0.7500)  4 Tm 3.37, 4 Mg 3.37
Tm (0.5000, 0.5000, 0.5000)  4 Gd 3.37, 4 Y 3.37
Gd (0.2500, 0.2500, 0.2500)  4 Mg 3.37, 4 Tm 3.37

ΔE_f   27 meV per atom
Uncorrected energy   -6.63 eV/atom

***

Computed, not measured: GdTmMgZr after structural relaxation at the PBE-GGA level of DFT.

a = 5.3338 Å, b = 5.3338 Å, c = 5.3338 Å
α = 60.00°, β = 60.00°, γ = 60.00°
Closest atoms and distances in Å follow each position.
Positions (direct):
Zr (0.5000, 0.5000, 0.5000)  4 Gd 3.27, 4 Tm 3.27
Mg (0.0000, 0.0000, 0.0000)  4 Gd 3.27, 4 Tm 3.27
Tm (0.7500, 0.7500, 0.7500)  4 Zr 3.27, 4 Mg 3.27
Gd (0.2500, 0.2500, 0.2500)  4 Zr 3.27, 4 Mg 3.27

ΔE_f   136 meV per atom
Uncorrected energy   -7.04 eV/atom

***

Number 5 is which compound?
GdYTmMg

***

Among the records above, which one has the lowest ΔE_f?
GdTmMg2

***

Which formula does entry 1 have?
Gd2TmMg